NdMgBeCd | PBE | optimized geometry

a b c (Å): 4.9683 4.9683 4.9683
angles (deg): 60.00 60.00 60.00
Element x y z (fractional)
Nd1 0.0000 0.0000 0.0000
Mg1 0.5000 0.5000 0.5000
Be1 0.2500 0.2500 0.2500
Cd1 0.7500 0.7500 0.7500

Formation energy from the elements, eV per atom: -0.029
E, eV/cell: -11.12
M_tot, μB per formula unit: 0.00